1.
! KHgAs2 (meta-GGA SCAN, single point on PBEsol structure); values from VASP
! Symmetry   No. 44
! DFT formation energy   -0.26 eV per atom
! E   -29.477 eV/atom
! D(E_F)   0.3051 states/eV per atom
&SYSTEM
  ibrav = 0, nat = 4, ntyp = 3
/
ATOMIC_SPECIES
As 74.92 As.upf
Hg 200.59 Hg.upf
K 39.10 K.upf
CELL_PARAMETERS angstrom
-1.530 -0.184 -3.257
2.806 -4.716 -1.052
-4.573 -0.339 4.161
ATOMIC_POSITIONS angstrom
As -2.416 -1.262 -0.787
As -0.420 -0.298 0.214
Hg -3.692 -2.616 1.882
K -0.706 -3.852 0.549

2.
! KHgAs2W (meta-GGA SCAN, single point on PBEsol structure); values from VASP
! Symmetry   No. 123
! DFT formation energy   1.65 eV per atom
! E   -35.662 eV/atom
! D(E_F)   0.4732 states/eV per atom
&SYSTEM
  ibrav = 0, nat = 5, ntyp = 4
/
ATOMIC_SPECIES
As 74.92 As.upf
W 183.84 W.upf
K 39.10 K.upf
Hg 200.59 Hg.upf
CELL_PARAMETERS angstrom
5.153 0.000 0.000
0.000 5.153 0.000
0.000 0.000 5.352
ATOMIC_POSITIONS angstrom
As 0.000 2.576 0.000
As 2.576 0.000 0.000
W 2.576 2.576 2.676
K 0.000 0.000 2.676
Hg 0.000 0.000 0.000

3.
! La2HgAs (meta-GGA SCAN, single point on PBEsol structure); values from VASP
! Polymorph energy (0 for the lowest one)   0.888 eV/f.u.
! Symmetry   No. 225
! DFT formation energy   -0.93 eV per atom
! E   -44.568 eV/atom
! D(E_F)   0.6406 states/eV per atom
&SYSTEM
  ibrav = 0, nat = 4, ntyp = 3
/
ATOMIC_SPECIES
La 138.91 La.upf
Hg 200.59 Hg.upf
As 74.92 As.upf
CELL_PARAMETERS angstrom
-1.827 -0.735 4.911
3.381 -0.852 3.980
0.742 3.725 3.684
ATOMIC_POSITIONS angstrom
La 0.574 0.535 3.144
La 1.722 1.604 9.432
Hg 1.148 1.069 6.288
As 0.000 0.000 0.000

4.
! La2HgAs (meta-GGA SCAN, single point on PBEsol structure); values from VASP
! Polymorph energy (0 for the lowest one)   0.000 eV/f.u.
! Symmetry   No. 166
! DFT formation energy   -1.15 eV per atom
! E   -44.790 eV/atom
! D(E_F)   1.1626 states/eV per atom
&SYSTEM
  ibrav = 0, nat = 4, ntyp = 3
/
ATOMIC_SPECIES
As 74.92 As.upf
Hg 200.59 Hg.upf
La 138.91 La.upf
CELL_PARAMETERS angstrom
-3.558 -1.878 -1.353
-0.442 -4.207 0.345
-4.477 -1.124 6.674
ATOMIC_POSITIONS angstrom
As 0.000 0.000 0.000
Hg -4.239 -3.604 2.833
La -6.449 -5.380 4.454
La -2.028 -1.829 1.212

5.
! LaHgAs (meta-GGA SCAN, single point on PBEsol structure); values from VASP
! Symmetry   No. 216
! DFT formation energy   -0.70 eV per atom
! E   -44.523 eV/atom
! D(E_F)   1.0235 states/eV per atom
&SYSTEM
  ibrav = 0, nat = 3, ntyp = 3
/
ATOMIC_SPECIES
La 138.91 La.upf
Hg 200.59 Hg.upf
As 74.92 As.upf
CELL_PARAMETERS angstrom
-1.150 -3.999 2.597
0.534 -4.452 -1.988
3.545 -2.990 1.597
ATOMIC_POSITIONS angstrom
La 1.465 -5.721 1.103
Hg 0.000 0.000 0.000
As 0.732 -2.860 0.552

6.
! La3HgAs (meta-GGA SCAN, single point on PBEsol structure); values from VASP
! Symmetry   No. 221
! DFT formation energy   -0.59 eV per atom
! E   -44.120 eV/atom
! D(E_F)   1.2569 states/eV per atom
&SYSTEM
  ibrav = 0, nat = 5, ntyp = 3
/
ATOMIC_SPECIES
La 138.91 La.upf
As 74.92 As.upf
Hg 200.59 Hg.upf
CELL_PARAMETERS angstrom
5.625 0.000 0.000
0.000 5.625 0.000
0.000 0.000 5.625
ATOMIC_POSITIONS angstrom
La 2.812 0.000 0.000
La 0.000 0.000 2.812
La 0.000 2.812 0.000
As 0.000 0.000 0.000
Hg 2.812 2.812 2.812

7.
! La2HgAs (meta-GGA SCAN, single point on PBEsol structure); values from VASP
! Polymorph energy (0 for the lowest one)   0.373 eV/f.u.
! Symmetry   No. 38
! DFT formation energy   -1.06 eV per atom
! E   -44.697 eV/atom
! D(E_F)   0.7371 states/eV per atom
&SYSTEM
  ibrav = 0, nat = 4, ntyp = 3
/
ATOMIC_SPECIES
Hg 200.59 Hg.upf
La 138.91 La.upf
As 74.92 As.upf
CELL_PARAMETERS angstrom
-3.026 -3.215 -0.195
0.368 -0.082 -4.342
5.675 -2.336 0.525
ATOMIC_POSITIONS angstrom
Hg 0.426 -3.312 -2.088
La 2.214 -2.098 0.227
La 2.746 -5.510 -1.850
As -1.234 -1.872 -0.069

8.
! La2HgAs (meta-GGA SCAN, single point on PBEsol structure); values from VASP
! Polymorph energy (0 for the lowest one)   0.947 eV/f.u.
! Symmetry   No. 44
! DFT formation energy   -0.91 eV per atom
! E   -44.554 eV/atom
! D(E_F)   0.5189 states/eV per atom
&SYSTEM
  ibrav = 0, nat = 4, ntyp = 3
/
ATOMIC_SPECIES
Hg 200.59 Hg.upf
As 74.92 As.upf
La 138.91 La.upf
CELL_PARAMETERS angstrom
4.079 0.000 0.000
0.000 4.734 0.000
-2.039 -2.367 5.412
ATOMIC_POSITIONS angstrom
Hg 0.000 2.367 2.388
As 2.039 2.367 0.102
La 2.039 0.000 2.918
La 0.000 0.000 0.003

9.
! La4HgAs (meta-GGA SCAN, single point on PBEsol structure); values from VASP
! Symmetry   No. 216
! DFT formation energy   0.03 eV per atom
! E   -43.431 eV/atom
! D(E_F)   1.1484 states/eV per atom
&SYSTEM
  ibrav = 0, nat = 6, ntyp = 3
/
ATOMIC_SPECIES
La 138.91 La.upf
As 74.92 As.upf
Hg 200.59 Hg.upf
CELL_PARAMETERS angstrom
6.230 0.000 0.000
3.115 5.396 0.000
3.115 1.799 5.087
ATOMIC_POSITIONS angstrom
La 7.772 2.707 1.914
La 6.230 3.597 4.431
La 4.689 2.707 1.914
La 6.230 5.377 1.914
As 9.346 5.396 3.815
Hg 0.000 0.000 0.000

10.
! Li2LaHgAs (meta-GGA SCAN, single point on PBEsol structure); values from VASP
! Symmetry   No. 123
! DFT formation energy   0.52 eV per atom
! E   -26.727 eV/atom
! D(E_F)   0.5946 states/eV per atom
&SYSTEM
  ibrav = 0, nat = 5, ntyp = 4
/
ATOMIC_SPECIES
Hg 200.59 Hg.upf
Li 6.94 Li.upf
La 138.91 La.upf
As 74.92 As.upf
CELL_PARAMETERS angstrom
5.403 0.000 0.000
0.000 6.552 0.000
0.000 0.000 6.552
ATOMIC_POSITIONS angstrom
Hg 2.701 3.276 3.276
Li 0.000 3.276 0.000
Li 0.000 0.000 3.276
La 0.000 0.000 0.000
As 2.701 0.000 0.000

11.
! La2HgMoAs (meta-GGA SCAN, single point on PBEsol structure); values from VASP
! Symmetry   No. 123
! DFT formation energy   0.77 eV per atom
! E   -41.116 eV/atom
! D(E_F)   0.9753 states/eV per atom
&SYSTEM
  ibrav = 0, nat = 5, ntyp = 4
/
ATOMIC_SPECIES
Hg 200.59 Hg.upf
Mo 95.94 Mo.upf
La 138.91 La.upf
As 74.92 As.upf
CELL_PARAMETERS angstrom
-3.242 0.124 -3.657
-0.468 -5.817 0.217
-4.346 0.494 3.870
ATOMIC_POSITIONS angstrom
Hg 0.000 0.000 0.000
Mo -4.028 -2.600 0.215
La -0.234 -2.909 0.109
La -2.173 0.247 1.935
As -1.621 0.062 -1.828

12.
! LiHg3As (meta-GGA SCAN, single point on PBEsol structure); values from VASP
! Symmetry   No. 221
! DFT formation energy   0.18 eV per atom
! E   -45.232 eV/atom
! D(E_F)   0.4857 states/eV per atom
&SYSTEM
  ibrav = 0, nat = 5, ntyp = 3
/
ATOMIC_SPECIES
Hg 200.59 Hg.upf
Li 6.94 Li.upf
As 74.92 As.upf
CELL_PARAMETERS angstrom
5.279 0.000 0.000
0.000 5.279 0.000
0.000 0.000 5.279
ATOMIC_POSITIONS angstrom
Hg 0.000 2.640 0.000
Hg 2.640 0.000 0.000
Hg 0.000 0.000 2.640
Li 2.640 2.640 2.640
As 0.000 0.000 0.000

13.
! Li4HgAs (meta-GGA SCAN, single point on PBEsol structure); values from VASP
! Symmetry   No. 216
! DFT formation energy   -0.18 eV per atom
! E   -16.495 eV/atom
! D(E_F)   0.1897 states/eV per atom
&SYSTEM
  ibrav = 0, nat = 6, ntyp = 3
/
ATOMIC_SPECIES
As 74.92 As.upf
Hg 200.59 Hg.upf
Li 6.94 Li.upf
CELL_PARAMETERS angstrom
-2.390 3.986 2.325
-4.140 -0.858 3.022
0.370 0.607 5.148
ATOMIC_POSITIONS angstrom
As -4.620 2.801 7.871
Hg 0.000 0.000 0.000
Li -3.504 3.387 5.099
Li -2.128 1.704 6.505
Li -4.375 0.975 5.446
Li -2.313 1.402 3.941

14.
! MgHg2As (meta-GGA SCAN, single point on PBEsol structure); values from VASP
! Symmetry   No. 216
! DFT formation energy   0.02 eV per atom
! E   -40.350 eV/atom
! D(E_F)   0.5180 states/eV per atom
&SYSTEM
  ibrav = 0, nat = 4, ntyp = 3
/
ATOMIC_SPECIES
Hg 200.59 Hg.upf
As 74.92 As.upf
Mg 24.30 Mg.upf
CELL_PARAMETERS angstrom
4.941 0.000 0.000
2.470 4.279 0.000
2.470 1.426 4.034
ATOMIC_POSITIONS angstrom
Hg 7.411 4.279 3.026
Hg 0.000 0.000 0.000
As 4.941 2.853 2.017
Mg 2.470 1.426 1.009

15.
! MgHgAs2 (meta-GGA SCAN, single point on PBEsol structure); values from VASP
! Polymorph energy (0 for the lowest one)   0.000 eV/f.u.
! Symmetry   No. 12
! DFT formation energy   -0.07 eV per atom
! E   -28.451 eV/atom
! D(E_F)   0.3077 states/eV per atom
&SYSTEM
  ibrav = 0, nat = 4, ntyp = 3
/
ATOMIC_SPECIES
As 74.92 As.upf
Mg 24.30 Mg.upf
Hg 200.59 Hg.upf
CELL_PARAMETERS angstrom
4.192 0.016 0.023
-1.062 4.578 0.037
-1.062 -1.530 4.314
ATOMIC_POSITIONS angstrom
As -0.531 2.289 0.018
As -0.531 -0.765 2.157
Mg 1.034 1.532 2.187
Hg 2.096 0.008 0.012